No. 1
# LiTe2

A relaxed structure of LiTe2 (PBE, Alexandria).

The calculation puts the relative energy among the computed polymorphs at 0.13 eV/f.u. For the uncorrected formation energy, the calculation gives -1.3 eV per formula unit. Its density of states at the Fermi level is 2.21 states/eV per cell. The calculation puts the calculated density at 5017 kg/m3.

The space group is C2/m (No. 12) and the conventional cell measures 9.0930, 3.3322 and 6.5011 Å, with angles of 90.00, 118.25 and 90.00 degrees. Symmetry generates all atoms from Li at (0.0000, 0.0000, 0.0000) and Te at (0.1237, 0.5000, 0.7447).

---

No. 2
# Tb2Th2Ni15

A relaxed structure of Tb2Th2Ni15 (PBE, Alexandria).

Its formation energy is -0.269 eV per atom. Its density of states at the Fermi level is 83.24 states/eV per cell. The calculation puts the calculated density at 10196 kg/m3.

The space group is R-3m (No. 166, hexagonal axes) and the conventional cell measures 8.5508, 8.5508 and 12.8263 Å, with angles of 90.00, 90.00 and 120.00 degrees. Symmetry generates all atoms from Tb at (0.0000, 0.0000, 0.1084), Th at (0.0000, 0.0000, 0.3578), Ni at (0.0000, 0.3144, 0.0000), Ni at (0.0000, 0.5000, 0.5000) and Ni at (0.0105, 0.5052, 0.1570).

---

No. 3
# AlCdPt2

A relaxed structure of AlCdPt2 (PBE, Alexandria).

Its formation energy is -0.247 eV per atom. Its density of states at the Fermi level is 8.43 states/eV per cell. The calculation puts the calculated density at 13139 kg/m3.

The space group is R3m (No. 160, hexagonal axes) and the conventional cell measures 2.9417, 2.9417 and 26.7903 Å, with angles of 90.00, 90.00 and 120.00 degrees. Symmetry generates all atoms from Al at (0.0000, 0.0000, 0.0000), Cd at (0.0000, 0.0000, 0.7571), Pt at (0.0000, 0.0000, 0.2631) and Pt at (0.0000, 0.0000, 0.5093).

---

No. 4
# NdPu3Se6

A relaxed structure of NdPu3Se6 (PBE, Alexandria).

For the uncorrected formation energy, the calculation gives -12.6 eV per formula unit. Its density of states at the Fermi level is 80.79 states/eV per cell. The calculation puts the calculated density at 6717 kg/m3.

The space group is P2_1/m (No. 11) and the conventional cell measures 10.6790, 4.1663 and 15.0207 Å, with angles of 90.00, 92.83 and 90.00 degrees. Symmetry generates all atoms from Nd at (0.1245, 0.2500, 0.3452), Pu at (0.0581, 0.7500, 0.1139), Pu at (0.2766, 0.2500, 0.8276), Pu at (0.4781, 0.7500, 0.3739), Se at (0.0624, 0.7500, 0.5128), Se at (0.0629, 0.2500, 0.7171), Se at (0.1365, 0.7500, 0.9305), Se at (0.2632, 0.7500, 0.2455), Se at (0.3508, 0.2500, 0.4678) and Se at (0.4097, 0.7500, 0.7396).

---

No. 5
# TeIN2Cl

A relaxed structure of TeIN2Cl (PBE, Alexandria).

The calculation puts the relative energy among the computed polymorphs at 0.00 eV/f.u. For the uncorrected formation energy, the calculation gives 6.8 eV per formula unit. Its density of states at the Fermi level is 2.57 states/eV per cell. The calculation puts the calculated density at 4024 kg/m3.

The space group is P4/mmm (No. 123) and the conventional cell measures 4.0451, 4.0451 and 8.0189 Å, with angles of 90.00, 90.00 and 90.00 degrees. Symmetry generates all atoms from Te at (0.0000, 0.0000, 0.0000), I at (0.0000, 0.0000, 0.5000), N at (0.0000, 0.5000, 0.0000) and Cl at (0.5000, 0.5000, 0.5000).

---

No. 6
# TmTlAgTe3

A relaxed structure of TmTlAgTe3 (PBE, Alexandria).

For the uncorrected formation energy, the calculation gives -4.0 eV per formula unit. Its density of states at the Fermi level is 12.92 states/eV per cell. The calculation puts the calculated density at 7662 kg/m3.

The space group is Cmcm (No. 63) and the conventional cell measures 4.2169, 15.5740 and 11.4050 Å, with angles of 90.00, 90.00 and 90.00 degrees. Symmetry generates all atoms from Tm at (0.0000, 0.0000, 0.0000), Tl at (0.0000, 0.2383, 0.2500), Ag at (0.0000, 0.4611, 0.7500), Te at (0.0000, 0.0800, 0.7500) and Te at (0.0000, 0.3626, 0.5456).